The following is a PBE calculation of K2MnCu after structural relaxation, from Alexandria via LeMat-Bulk.

Lattice parameters (Å, degrees): 6.940 6.940 6.940 148.11 129.61 60.88
Site moments in Bohr magnetons follow the coordinates.
Fractional coordinates of all 4 atoms:
Cu 0.298 0.798 0.500  0.13
K 0.040 0.040 0.000  0.00
K 0.734 0.234 0.500  -0.01
Mn 0.428 0.428 0.000  4.12

Output
formation enthalpy at 0 K: 0.626 eV per atom
density: 2.4 Mg/m³
polymorph energy (0 for the lowest one): 118 meV/atom

---

The following is a PBE calculation of K2MnCu after structural relaxation, from Alexandria via LeMat-Bulk.

Lattice parameters (Å, degrees): 4.358 4.358 9.419 78.17 78.17 59.74
Site moments in Bohr magnetons follow the coordinates.
Fractional coordinates of all 4 atoms:
Cu 0.791 0.791 0.625  0.12
K 0.044 0.044 0.898  -0.01
K 0.207 0.207 0.352  -0.01
Mn 0.458 0.458 0.625  3.96

Output
formation enthalpy at 0 K: 0.515 eV per atom
density: 2.2 Mg/m³
polymorph energy (0 for the lowest one): 7 meV/atom

---

The following is a PBE calculation of KMn4Cu after structural relaxation, from Alexandria via LeMat-Bulk.

Lattice parameters (Å, degrees): 5.441 5.441 5.441 60.00 60.00 60.00
Site moments in Bohr magnetons follow the coordinates.
Fractional coordinates of all 6 atoms:
K 0.000 0.000 0.000  0.02
Mn 0.866 0.378 0.378  3.69
Mn 0.378 0.378 0.866  3.69
Mn 0.378 0.866 0.378  3.69
Mn 0.378 0.378 0.378  3.69
Cu 0.750 0.750 0.750  0.13

Output
formation enthalpy at 0 K: 0.960 eV per atom
density: 4.7 Mg/m³

---

The following is a PBE calculation of K2MnCu after structural relaxation, from Alexandria via LeMat-Bulk.

Lattice parameters (Å, degrees): 3.572 3.572 10.140 90.00 90.00 90.00
Site moments in Bohr magnetons follow the coordinates.
Fractional coordinates of all 4 atoms:
Cu 0.500 0.500 0.653  0.11
K 0.000 0.000 0.918  -0.01
K 0.500 0.500 0.328  -0.01
Mn 0.000 0.000 0.601  3.91

Output
formation enthalpy at 0 K: 0.508 eV per atom
density: 2.5 Mg/m³
polymorph energy (0 for the lowest one): 0 meV/atom

---

The following is a PBE calculation of K2MnCu after structural relaxation, from Alexandria via LeMat-Bulk.

Lattice parameters (Å, degrees): 10.900 10.900 10.900 20.84 20.84 20.84
Site moments in Bohr magnetons follow the coordinates.
Fractional coordinates of all 4 atoms:
Cu 0.750 0.750 0.750  0.00
K 0.012 0.012 0.012  -0.01
K 0.488 0.488 0.488  -0.01
Mn 0.250 0.250 0.250  4.31

Output
formation enthalpy at 0 K: 0.920 eV per atom
density: 2.3 Mg/m³
polymorph energy (0 for the lowest one): 412 meV/atom

---

The following is a PBE calculation of K2MnCu after structural relaxation, from Alexandria via LeMat-Bulk.

Lattice parameters (Å, degrees): 5.383 5.383 4.558 89.92 89.92 99.22
Site moments in Bohr magnetons follow the coordinates.
Fractional coordinates of all 4 atoms:
Cu 0.000 0.500 0.500  0.03
K 0.000 0.000 0.000  -0.01
K 0.500 0.500 0.000  -0.01
Mn 0.500 0.000 0.500  4.23

Output
formation enthalpy at 0 K: 0.857 eV per atom
density: 2.5 Mg/m³
polymorph energy (0 for the lowest one): 349 meV/atom

---

The following is a PBE calculation of KMn2Cu after structural relaxation, from Alexandria via LeMat-Bulk.

Lattice parameters (Å, degrees): 5.306 5.306 9.098 73.05 73.05 90.00
Site moments in Bohr magnetons follow the coordinates.
Fractional coordinates of all 8 atoms:
K 0.500 0.500 0.000  -0.01
K 0.250 0.750 0.500  -0.01
Mn 0.875 0.125 0.250  3.76
Mn 0.875 0.625 0.250  3.75
Mn 0.375 0.125 0.750  3.92
Mn 0.875 0.125 0.750  3.86
Cu 0.000 0.000 0.000  0.14
Cu 0.750 0.250 0.500  0.14

Output
formation enthalpy at 0 K: 0.969 eV per atom
density: 3.0 Mg/m³
polymorph energy (0 for the lowest one): 326 meV/atom

---

The following is a PBE calculation of KMnCuNi2 after structural relaxation, from Alexandria via LeMat-Bulk.

Lattice parameters (Å, degrees): 4.522 4.784 4.522 90.00 90.00 90.00
Site moments in Bohr magnetons follow the coordinates.
Fractional coordinates of all 5 atoms:
Ni 0.000 0.000 0.500  0.18
Ni 0.500 0.000 0.000  0.30
K 0.000 0.000 0.000  -0.02
Mn 0.500 0.500 0.500  4.29
Cu 0.000 0.500 0.000  0.01

Output
formation enthalpy at 0 K: 1.979 eV per atom
density: 4.7 Mg/m³